(1)
K2Hg3C8N8O8 | PBE | optimized geometry

Computed properties:
ρ, g cm⁻³: 3.9

Lattice parameters (Å, degrees): 3.8775 10.4710 10.6644 91.96 95.34 95.08
Fractional coordinates of all 29 atoms:
K 0.2084 0.4892 0.2916
K 0.7916 0.5108 0.7084
Hg 0.0000 0.0000 0.5000
Hg 0.2689 0.8843 0.1070
Hg 0.7311 0.1157 0.8930
C 0.2161 0.2298 0.6986
C 0.2184 0.1561 0.1774
C 0.2981 0.6343 0.9795
C 0.2997 0.7472 0.5489
C 0.7003 0.2528 0.4511
C 0.7019 0.3657 0.0205
C 0.7816 0.8439 0.8226
C 0.7839 0.7702 0.3014
N 0.1909 0.1210 0.7340
N 0.2181 0.6822 0.0764
N 0.3098 0.0864 0.0958
N 0.3449 0.8604 0.5310
N 0.6551 0.1396 0.4690
N 0.6902 0.9136 0.9042
N 0.7819 0.3178 0.9236
N 0.8091 0.8790 0.2660
O 0.1288 0.2301 0.2528
O 0.2391 0.3376 0.6612
O 0.2817 0.6341 0.5664
O 0.3688 0.5798 0.8855
O 0.6312 0.4202 0.1145
O 0.7183 0.3659 0.4336
O 0.7609 0.6624 0.3388
O 0.8712 0.7699 0.7472

(2)
AcHoCu | PBE | optimized geometry

Computed properties:
ρ, g cm⁻³: 8.2
Formation energy, eV per atom: 0.824

Lattice parameters (Å, degrees): 5.0660 5.0660 5.0660 60.00 60.00 60.00
Fractional coordinates of all 3 atoms:
Ac 0.0000 0.0000 0.0000
Ho 0.2500 0.2500 0.2500
Cu 0.7500 0.7500 0.7500

(3)
LaSmAgS3 | PBE | optimized geometry

Computed properties:
ρ, g cm⁻³: 5.8

Lattice parameters (Å, degrees): 6.9084 6.9084 10.9160 90.00 90.00 146.99
Fractional coordinates of all 12 atoms:
La 0.0000 0.0000 0.0000
La 0.0000 0.0000 0.5000
Sm 0.2273 0.7727 0.7500
Sm 0.7727 0.2273 0.2500
Ag 0.4873 0.5127 0.2500
Ag 0.5127 0.4873 0.7500
S 0.1100 0.8900 0.2500
S 0.3532 0.6468 0.0840
S 0.3532 0.6468 0.4160
S 0.6468 0.3532 0.5840
S 0.6468 0.3532 0.9160
S 0.8900 0.1100 0.7500

(4)
NaB4W | PBE | optimized geometry

Computed properties:
ρ, g cm⁻³: 7.0

Lattice parameters (Å, degrees): 2.9996 2.9996 7.6044 90.00 90.00 120.00
Fractional coordinates of all 6 atoms:
Na 0.0000 0.0000 0.0000
B 0.3333 0.6667 0.2810
B 0.3333 0.6667 0.7190
B 0.6667 0.3333 0.2810
B 0.6667 0.3333 0.7190
W 0.0000 0.0000 0.5000

(5)
ZrCoTcBi | PBE | optimized geometry

Computed properties:
ρ, g cm⁻³: 10.5

Lattice parameters (Å, degrees): 4.6791 4.6791 4.6791 60.00 60.00 60.00
Fractional coordinates of all 4 atoms:
Zr 0.0000 0.0000 0.0000
Co 0.5000 0.5000 0.5000
Tc 0.7500 0.7500 0.7500
Bi 0.2500 0.2500 0.2500

(6)
Hf3Zn3NiPt2 | PBE | optimized geometry

Computed properties:
ρ, g cm⁻³: 13.1
Formation energy, eV per atom: -0.694

Lattice parameters (Å, degrees): 7.0918 7.0918 3.4442 90.00 90.00 120.00
Fractional coordinates of all 9 atoms:
Hf 0.0000 0.6047 0.0000
Hf 0.3953 0.3953 0.0000
Hf 0.6047 0.0000 0.0000
Zn 0.0000 0.2519 0.5000
Zn 0.2519 0.0000 0.5000
Zn 0.7481 0.7481 0.5000
Ni 0.0000 0.0000 0.0000
Pt 0.3333 0.6667 0.5000
Pt 0.6667 0.3333 0.5000

no.,uncorrected energy (eV for the cell shown)
1,-197.2
2,-9.9
3,-67.8
4,-41.9
5,-28.3
6,-57.6